The following is a DFT calculation (GGA-PBE) of a geometry-optimized LiPr2Lu structure.

Properties
Formation energy from the elements ... 130 meV/atom
Relative energy among the computed polymorphs ... 59 meV per atom
Density of states at the Fermi level ... 1.070 states/eV/atom
Uncorrected energy ... -3.8681 eV/atom

POSCAR file:
```
LiPr2Lu
1.0
0.0000 3.9500 3.9500
3.9500 0.0000 3.9500
3.9500 3.9500 0.0000
Li Pr Lu
1 2 1
direct
0.0000 0.0000 0.0000
0.2500 0.2500 0.2500
0.7500 0.7500 0.7500
0.5000 0.5000 0.5000
```